# 1
The following is a DFT calculation (PBE) of an optimized crystal structure of Na4NdEr3Se8.

The calculation puts the total magnetization at 0.00 μB/f.u. The value obtained for the formation energy from raw total energies is -1.6945 eV/atom. Its density of states at the Fermi level is 0.0 states/eV/cell. The calculation puts the energy at -236.16 eV/cell.

The space group is R-3m (No. 166, hexagonal axes) and the conventional cell measures 8.3139, 8.3139 and 21.0330 Å, with angles of 90.00, 90.00 and 120.00 degrees. The distinct sites, in fractional coordinates, are Na at (0.0000, 0.0000, 0.0000), Na at (0.0000, 0.5000, 0.0000), Nd at (0.0000, 0.0000, 0.5000), Er at (0.0000, 0.5000, 0.5000), Se at (0.0000, 0.0000, 0.2421) and Se at (0.0088, 0.5044, 0.7564).



# 2
The following is a DFT calculation (PBE) of an optimized crystal structure of NaNd2Er3Se6.

The calculation puts the total magnetization at 0.00 μB/f.u. The value obtained for the formation energy from raw total energies is -1.7575 eV/atom. Its density of states at the Fermi level is 6.6 states/eV/cell. The calculation puts the energy at -133.08 eV/cell.

The space group is C2/m (No. 12) and the conventional cell measures 18.126, 4.093 and 8.347 Å, with angles of 90.00, 104.17 and 90.00 degrees. The distinct sites, in fractional coordinates, are Na at (0.000, 0.000, 0.000), Nd at (0.171, 0.500, 0.345), Er at (0.000, 0.000, 0.500), Er at (0.167, 0.500, 0.828), Se at (0.002, 0.500, 0.743), Se at (0.160, 0.000, 0.594) and Se at (0.169, 0.000, 0.073).



# 3
The following is a DFT calculation (PBE) of an optimized crystal structure of NaNd2ErSe4.

The calculation puts the total magnetization at 0.00 μB/f.u. The value obtained for the formation energy from raw total energies is -1.7385 eV/atom. Its density of states at the Fermi level is 2.8 states/eV/cell. The calculation puts the energy at -43.26 eV/cell.

The space group is P2/m (No. 10) and the conventional cell measures 7.227, 4.151 and 7.248 Å, with angles of 90.00, 109.03 and 90.00 degrees. The distinct sites, in fractional coordinates, are Na at (0.000, 0.000, 0.000), Nd at (0.000, 0.500, 0.500), Nd at (0.500, 0.000, 0.500), Er at (0.500, 0.500, 0.000), Se at (0.253, 0.500, 0.241) and Se at (0.258, 0.000, 0.765).



# 4
The following is a DFT calculation (PBE) of an optimized crystal structure of NaNd4Er3Se8.

The calculation puts the total magnetization at 0.00 μB/f.u. The value obtained for the formation energy from raw total energies is -1.7562 eV/atom. Its density of states at the Fermi level is 24.1 states/eV/cell. The calculation puts the energy at -270.16 eV/cell.

The space group is R-3m (No. 166, hexagonal axes) and the conventional cell measures 8.2477, 8.2477 and 20.5876 Å, with angles of 90.00, 90.00 and 120.00 degrees. The distinct sites, in fractional coordinates, are Na at (0.0000, 0.0000, 0.0000), Nd at (0.0000, 0.0000, 0.5000), Nd at (0.0000, 0.5000, 0.5000), Er at (0.0000, 0.5000, 0.0000), Se at (0.0000, 0.0000, 0.2559) and Se at (0.0021, 0.5010, 0.2554).



# 5
The following is a DFT calculation (PBE) of an optimized crystal structure of NaNd3Er2Te6.

The calculation puts the total magnetization at 0.00 μB/f.u. The value obtained for the formation energy from raw total energies is -1.3372 eV/atom. Its density of states at the Fermi level is 8.4 states/eV/cell. The calculation puts the energy at -119.29 eV/cell.

The space group is C2/m (No. 12) and the conventional cell measures 19.436, 4.407 and 8.936 Å, with angles of 90.00, 103.86 and 90.00 degrees. The distinct sites, in fractional coordinates, are Na at (0.000, 0.000, 0.000), Nd at (0.000, 0.000, 0.500), Nd at (0.160, 0.500, 0.821), Er at (0.165, 0.500, 0.337), Te at (0.006, 0.500, 0.246), Te at (0.169, 0.000, 0.092) and Te at (0.170, 0.000, 0.575).



# 6
The following is a DFT calculation (PBE) of an optimized crystal structure of Na2Nd3ErTe6.

The calculation puts the total magnetization at 0.00 μB/f.u. The value obtained for the formation energy from raw total energies is -1.3400 eV/atom. Its density of states at the Fermi level is 7.8 states/eV/cell. The calculation puts the energy at -112.87 eV/cell.

The space group is C2/m (No. 12) and the conventional cell measures 7.743, 13.396 and 7.795 Å, with angles of 90.00, 109.24 and 90.00 degrees. The distinct sites, in fractional coordinates, are Na at (0.000, 0.165, 0.000), Nd at (0.000, 0.000, 0.500), Nd at (0.000, 0.329, 0.500), Er at (0.000, 0.500, 0.000), Te at (0.243, 0.337, 0.241) and Te at (0.243, 0.500, 0.753).



- Among the records above, which one has the highest formation energy from raw total energies?
  NaNd3Er2Te6



- energy of number 2 (NaNd2Er3Se6)?
  -133.08 eV/cell



- Which of these has the highest energy?
  NaNd2ErSe4